1.
36
Lattice="5.2068 -4.4012 0.0000 5.2068 4.4012 0.0000 0.0000 0.0000 8.7875" Properties=species:S:1:pos:R:3 comment="Na3Al2P2O8F3, relaxed, DFT GGA-PBEsol" n_ef_per_ev_fu=0.00 final_energy_ev_per_atom=-6.72 space_group="No. 36" pbc="T T T"
Na 5.2068 4.1805 4.3937
Na 5.2068 1.9857 2.3558
Na 5.2068 1.1086 5.6494
Na 5.2068 -1.1086 1.2557
Na 5.2068 -1.9857 6.7495
Na 5.2068 -4.1805 0.0000
Al 3.3426 2.1646 8.6444
Al 7.0711 2.1646 8.6444
Al 3.3426 -2.1646 4.2506
Al 7.0711 -2.1646 4.2506
P 2.5635 0.0193 6.4883
P 2.5635 -0.0193 2.0946
P 7.8502 0.0193 6.4883
P 7.8502 -0.0193 2.0946
O 1.6386 0.9120 5.6302
O 1.6632 0.8406 2.9919
O 3.5288 0.8932 7.3074
O 3.4835 0.8387 1.1980
O 1.6632 -0.8406 7.3856
O 1.6386 -0.9120 1.2365
O 3.4835 -0.8387 5.5917
O 3.5288 -0.8932 2.9137
O 6.8849 0.8932 7.3074
O 6.9302 0.8387 1.1980
O 8.7751 0.9120 5.6302
O 8.7505 0.8406 2.9919
O 6.9302 -0.8387 5.5917
O 6.8849 -0.8932 2.9137
O 8.7505 -0.8406 7.3856
O 8.7751 -0.9120 1.2365
F 3.6978 2.2404 4.2381
F 5.2068 2.1716 8.7084
F 6.7159 2.2404 4.2381
F 3.6978 -2.2404 8.6318
F 5.2068 -2.1716 4.3147
F 6.7159 -2.2404 8.6318

2.
54
Lattice="10.4754 0.0000 0.0000 -5.2377 9.0720 0.0000 0.0000 0.0000 6.6040" Properties=species:S:1:pos:R:3 comment="Na5AlP2O8F2, relaxed, DFT GGA-PBEsol" n_ef_per_ev_fu=0.00 final_energy_ev_per_atom=-6.32 space_group="No. 147" pbc="T T T"
Na 0.0000 0.0000 0.0000
Na 0.0000 0.0000 3.3020
Na -2.6188 4.5360 0.0000
Na -2.8261 7.5321 1.7539
Na 0.1277 2.8584 1.7539
Na 2.5393 1.3186 4.8501
Na 0.0000 6.0480 0.5521
Na 0.0000 6.0480 3.4706
Na 5.2377 0.0000 0.0000
Na 2.6188 4.5360 0.0000
Na 5.2377 3.0240 3.1334
Na 5.2377 3.0240 6.0519
Na 2.6984 7.7534 1.7539
Na 5.1100 6.2135 4.8501
Na 8.0638 1.5398 4.8501
Al -2.6188 4.5360 3.3020
Al 5.2377 0.0000 3.3020
Al 2.6188 4.5360 3.3020
P -2.3321 7.3820 4.9513
P 0.0107 3.3613 4.9513
P 2.9163 1.6713 1.6527
P 2.3214 7.4006 4.9513
P 5.2270 5.7107 1.6527
P 7.5698 1.6899 1.6527
O -1.4236 3.8918 4.6304
O -3.6770 8.1330 4.9083
O 0.0328 1.8211 4.9083
O -2.3065 6.3124 3.8144
O -2.0595 6.7412 6.3152
O 1.5935 0.8822 1.6957
O 0.4294 3.9178 6.3152
O 0.9242 3.9183 3.8144
O -1.1555 8.3589 4.6304
O 2.6586 3.1787 1.9736
O 3.8554 1.1587 2.7896
O 3.6076 1.5870 0.2888
O 1.6301 7.4849 6.3152
O 1.3823 7.9132 3.8144
O 2.5791 5.8932 4.6304
O 6.3932 0.7130 1.9736
O 4.3135 5.1537 2.7896
O 4.8083 5.1541 0.2888
O 3.6442 8.1898 4.9083
O 7.2972 2.3308 0.2888
O 7.5442 2.7596 2.7896
O 5.2049 7.2509 1.6957
O 8.9147 0.9389 1.6957
O 6.6613 5.1802 1.9736
F -1.2853 4.7179 2.0474
F -0.5092 7.8261 2.0474
F 1.7945 5.5999 2.0474
F 3.4432 3.4721 4.5566
F 5.7469 1.2458 4.5566
F 6.5230 4.3541 4.5566

3.
36
Lattice="6.2269 0.0000 0.0000 0.0000 10.3643 0.0000 -0.0073 0.0000 6.2281" Properties=species:S:1:pos:R:3 comment="Na3Al2P2O8F3, relaxed, DFT GGA-PBEsol" n_ef_per_ev_fu=0.00 final_energy_ev_per_atom=-6.71 space_group="No. 6" pbc="T T T"
Na 0.0000 0.0000 0.0000
Na 0.1592 5.1821 2.8418
Na 2.6392 5.1821 0.1704
Na 3.1122 5.1821 3.1104
Na 3.2695 0.0000 5.9560
Na 5.7630 0.0000 3.2898
Al 1.6927 1.8678 1.7750
Al 1.6927 8.4965 1.7750
Al 4.8033 3.3148 4.8903
Al 4.8033 7.0495 4.8903
P 1.6331 2.5903 4.8273
P 1.6331 7.7740 4.8273
P 4.7502 2.5920 1.7137
P 4.7502 7.7723 1.7137
O 0.4306 3.5486 4.8439
O 0.4306 6.8157 4.8439
O 1.5778 1.6400 3.6221
O 1.5778 8.7243 3.6221
O 1.6600 1.6996 6.0908
O 1.6600 8.6646 6.0908
O 2.8955 3.4823 4.7915
O 2.8955 6.8820 4.7915
O 3.5463 1.6353 1.7289
O 3.5463 8.7290 1.7289
O 4.6963 3.5433 0.5092
O 4.6963 6.8210 0.5092
O 4.7782 3.4816 2.9778
O 4.7782 6.8827 2.9778
O 6.0119 1.6988 1.6775
O 6.0119 8.6655 1.6775
F 1.6118 0.0000 1.6873
F 1.7403 3.6933 1.8193
F 1.7403 6.6710 1.8193
F 4.7214 5.1821 4.8013
F 4.8524 1.4894 4.9353
F 4.8524 8.8749 4.9353

4.
10
Lattice="0.0000 4.1355 4.1355 4.1355 0.0000 4.1355 4.1355 4.1355 0.0000" Properties=species:S:1:pos:R:3 comment="Rb2NaAlF6, relaxed, DFT GGA-PBEsol" n_ef_per_ev_fu=0.00 final_energy_ev_per_atom=-5.12 space_group="No. 225" pbc="T T T"
Rb 2.0678 2.0678 2.0678
Rb 6.2033 6.2033 6.2033
Na 0.0000 0.0000 0.0000
Al 4.1355 4.1355 4.1355
F 4.1355 4.1355 2.3052
F 4.1355 2.3052 4.1355
F 5.9658 4.1355 4.1355
F 2.3052 4.1355 4.1355
F 4.1355 5.9658 4.1355
F 4.1355 4.1355 5.9658

Number 1: V 402.76 Å³/cell. Number 2: V 627.59 Å³/cell. Number 3: V 401.94 Å³/cell. Number 4: V 141.46 Å³/cell.